NbTlTeCl | the Alexandria database | PBE | relaxed; SG = No. 8; spin magnetization = 0.0 μB per formula unit; ΔE_f (raw) = -1.3 eV per formula unit; Fermi-level density of states = 0.55 states/eV/atom
1.0
5.108 -1.749 0.000
5.108 1.749 0.000
-3.003 0.000 5.674
Nb Tl Te Cl
1 1 1 1
Direct
0.000 0.000 0.000
0.315 0.315 0.541
0.686 0.686 0.936
0.511 0.511 0.292

NbTlTeCl | the Alexandria database | PBE | relaxed; SG = No. 1; spin magnetization = 0.0 μB per formula unit; ΔE_f (raw) = -2.2 eV per formula unit; Fermi-level density of states = 0.58 states/eV/atom
1.0
3.479 0.000 0.000
-1.738 3.016 0.000
-0.482 -1.354 10.453
Nb Tl Te Cl
1 1 1 1
Direct
0.000 0.000 0.000
0.164 0.453 0.497
0.267 0.585 0.818
0.390 0.738 0.157

NbTlTeCl | the Alexandria database | PBE | relaxed; SG = No. 1; spin magnetization = 0.0 μB per formula unit; ΔE_f (raw) = -1.0 eV per formula unit; Fermi-level density of states = 0.80 states/eV/atom
1.0
3.557 0.000 0.000
1.765 4.576 0.000
1.765 1.893 7.749
Nb Tl Te Cl
1 1 1 1
Direct
0.000 0.000 0.000
0.454 0.698 0.403
0.263 0.385 0.093
0.091 0.116 0.698

NbTlTeCl | the Alexandria database | PBE | relaxed; SG = No. 8; spin magnetization = 0.6 μB per formula unit; ΔE_f (raw) = 0.0 eV per formula unit; Fermi-level density of states = 0.66 states/eV/atom
1.0
6.280 -1.784 0.000
6.280 1.784 0.000
-0.824 0.000 5.016
Nb Tl Te Cl
1 1 1 1
Direct
0.000 0.000 0.000
0.349 0.349 0.628
0.087 0.087 0.527
0.822 0.822 0.135

NbTe2WCl | the Alexandria database | PBE | relaxed; SG = No. 123; spin magnetization = 4.2 μB per formula unit; ΔE_f (raw) = 4.2 eV per formula unit; Fermi-level density of states = 0.88 states/eV/atom
1.0
5.454 0.000 0.000
0.000 5.454 0.000
0.000 0.000 4.489
Nb Te W Cl
1 2 1 1
Direct
0.000 0.000 0.000
0.000 0.500 0.500
0.500 0.000 0.500
0.500 0.500 0.500
0.500 0.500 0.000

YNbTeCl2 | the Alexandria database | PBE | relaxed; SG = No. 123; spin magnetization = 2.7 μB per formula unit; ΔE_f (raw) = -1.5 eV per formula unit; Fermi-level density of states = 0.66 states/eV/atom
1.0
4.942 0.000 0.000
0.000 4.942 0.000
0.000 0.000 6.793
Y Nb Te Cl
1 1 1 2
Direct
0.000 0.000 0.000
0.000 0.000 0.500
0.500 0.500 0.500
0.000 0.500 0.000
0.500 0.000 0.000

The lowest Fermi-level density of states belongs to which entry? number 1

Among the records above, which one has the highest ΔE_f (raw)? NbTe2WCl